# 1
Below is a relaxed structure of Na6NbF12, with properties calculated at the PBE level.

Cell and atoms, written as POSCAR:
```
Na6NbF12
1.0
-0.6305 -4.0659 5.3196
6.6519 -0.4271 -0.8931
-0.2798 5.9359 3.1488
Na F Nb
6 12 1
Direct
0.6490 0.8454 0.4000
0.3510 0.1546 0.6000
0.1546 0.6000 0.3510
0.4000 0.6490 0.8454
0.6000 0.3510 0.1546
0.8454 0.4000 0.6490
0.9720 0.2806 0.0939
0.9061 0.0280 0.7194
0.2806 0.0939 0.9720
0.5915 0.3986 0.8294
0.6014 0.1706 0.4085
0.1706 0.4085 0.6014
0.8294 0.5915 0.3986
0.3986 0.8294 0.5915
0.7194 0.9061 0.0280
0.4085 0.6014 0.1706
0.0280 0.7194 0.9061
0.0939 0.9720 0.2806
0.0000 0.0000 0.0000
```

symmetry	R-3 (148)
crystal system	trigonal
V	291	Å³/cell
total moment	1.1	Bohr magnetons per cell
formation energy from raw total energies	-4923.6	kJ/mol of formula units

=====

# 2
Below is a relaxed structure of Na2NbF7, with properties calculated at the PBE level.

Cell and atoms, written as POSCAR:
```
Na2NbF7
1.0
0.2085 4.7026 4.2885
-2.2170 -1.5057 6.4864
6.2521 -0.2537 4.7019
F Nb Na
14 2 4
Direct
0.4524 0.7500 0.2500
0.0555 0.0556 0.2645
0.8947 0.3536 0.4811
0.2706 0.8536 0.9811
0.1053 0.6464 0.5189
0.9445 0.9444 0.7355
0.6243 0.5556 0.7645
0.2354 0.1300 0.6250
0.7294 0.1464 0.0189
0.3757 0.4444 0.2355
0.5476 0.2500 0.7500
0.7646 0.8700 0.3750
0.9904 0.3700 0.8750
0.0096 0.6300 0.1250
0.8679 0.2500 0.7500
0.1321 0.7500 0.2500
0.5982 0.9130 0.7124
0.4018 0.0870 0.2876
0.7764 0.4130 0.2124
0.2236 0.5870 0.7876
```

symmetry	C2/c (15)
crystal system	monoclinic
V	281	Å³/cell
total moment	0.2	Bohr magnetons per cell
formation energy from raw total energies	-2894.9	kJ/mol of formula units

=====

# 3
Below is a relaxed structure of NaNb3F, with properties calculated at the PBE level.

Cell and atoms, written as POSCAR:
```
NaNb3F
1.0
4.4241 0.0000 0.0000
0.0000 4.4241 0.0000
0.0000 0.0000 4.4241
Nb F Na
3 1 1
Direct
0.5000 0.0000 0.0000
0.0000 0.5000 0.0000
0.0000 0.0000 0.5000
0.0000 0.0000 0.0000
0.5000 0.5000 0.5000
```

energy relative to the lowest polymorph listed for this composition	0	kJ/mol of formula units
symmetry	Pm-3m (221)
crystal system	cubic
V	87	Å³/cell
total moment	0.0	Bohr magnetons per cell
formation energy from raw total energies	203.5	kJ/mol of formula units

=====

# 4
Below is a relaxed structure of NaNbO2F, with properties calculated at the PBE level.

Cell and atoms, written as POSCAR:
```
NaNbO2F
1.0
-3.3222 1.6507 1.5440
-2.2027 -2.9801 -1.5535
0.5359 -2.2524 3.5609
Nb Na O F
1 1 2 1
Direct
0.0000 0.0000 0.0000
0.5000 0.5000 0.5000
0.5000 0.0000 0.0000
0.0000 0.5000 0.0000
0.0000 0.0000 0.5000
```

symmetry	P4/mmm (123)
crystal system	tetragonal
V	69	Å³/cell
total moment	0.6	Bohr magnetons per cell
formation energy from raw total energies	-1136.7	kJ/mol of formula units

=====

# 5
Below is a relaxed structure of NaNbO2F2, with properties calculated at the PBE level.

Cell and atoms, written as POSCAR:
```
NaNbO2F2
1.0
5.4918 0.0000 0.0000
0.0000 7.7505 0.0085
0.0000 1.7563 8.0220
Nb F Na O
4 8 4 8
Direct
0.7648 0.1807 0.1558
0.7352 0.6807 0.1558
0.2648 0.3193 0.8442
0.2352 0.8193 0.8442
0.0484 0.8116 0.6260
0.4755 0.1225 0.3157
0.9755 0.3775 0.6843
0.4516 0.3116 0.6260
0.5245 0.8775 0.6843
0.0245 0.6225 0.3157
0.9516 0.1884 0.3740
0.5484 0.6884 0.3740
0.7198 0.6199 0.6340
0.2802 0.3801 0.3660
0.2198 0.8801 0.3660
0.7802 0.1199 0.6340
0.6560 0.4455 0.1796
0.9455 0.7120 0.9649
0.0545 0.2880 0.0351
0.3440 0.5545 0.8204
0.4455 0.7880 0.0351
0.5545 0.2120 0.9649
0.8440 0.9455 0.1796
0.1560 0.0545 0.8204
```

symmetry	P2_1/c (14)
crystal system	monoclinic
V	341	Å³/cell
total moment	0.0	Bohr magnetons per cell
formation energy from raw total energies	-1613.7	kJ/mol of formula units

=====

# 6
Below is a relaxed structure of NaNb6O15F, with properties calculated at the PBE level.

Cell and atoms, written as POSCAR:
```
NaNb6O15F
1.0
-4.3558 0.9587 -7.9809
3.3424 -8.4802 0.7092
-3.3658 -1.1849 1.6947
O Nb Na F
15 6 1 1
Direct
0.4684 0.8340 0.0000
0.0099 0.2278 0.0000
0.8569 0.7691 0.0000
0.2309 0.1431 0.0000
0.2843 0.3639 0.5000
0.5538 0.1798 0.0000
0.8202 0.4462 0.0000
0.4868 0.5132 0.0000
0.1367 0.8633 0.0000
0.6361 0.7157 0.5000
0.7722 0.9901 0.0000
0.3597 0.9900 0.5000
0.0100 0.6403 0.5000
0.1660 0.5316 0.0000
0.7768 0.2232 0.5000
0.0010 0.9990 0.0000
0.2635 0.3774 0.0000
0.6226 0.7365 0.0000
0.0055 0.6273 0.0000
0.7828 0.2172 0.0000
0.3727 0.9945 0.0000
0.5961 0.4039 0.5000
0.9992 0.0008 0.5000
```

symmetry	Amm2 (38)
crystal system	orthorhombic
V	311	Å³/cell
total moment	0.0	Bohr magnetons per cell
formation energy from raw total energies	-5566.9	kJ/mol of formula units

=====

# 7
Below is a relaxed structure of NaNbO2F, with properties calculated at the PBE level.

Cell and atoms, written as POSCAR:
```
NaNbO2F
1.0
-1.1754 -1.3529 5.2568
4.9553 -2.7193 0.4081
3.6134 6.9752 2.6030
F O Nb Na
4 8 4 4
Direct
0.1162 0.4953 0.2500
0.3838 0.9953 0.2500
0.8838 0.5047 0.7500
0.6162 0.0047 0.7500
0.2452 0.2455 0.9567
0.2452 0.2455 0.5433
0.7452 0.2545 0.0433
0.7548 0.7545 0.4567
0.7548 0.7545 0.0433
0.2548 0.7455 0.5433
0.7452 0.2545 0.4567
0.2548 0.7455 0.9567
0.5000 0.0000 0.5000
0.0000 0.5000 0.5000
0.0000 0.5000 0.0000
0.5000 0.0000 0.0000
0.9630 0.0056 0.2500
0.4630 0.4944 0.7500
0.0370 0.9944 0.7500
0.5370 0.5056 0.2500
```

symmetry	Pnma (62)
crystal system	orthorhombic
V	260	Å³/cell
total moment	2.9	Bohr magnetons per cell
formation energy from raw total energies	-1151.8	kJ/mol of formula units

=====

# 8
Below is a relaxed structure of NaNbO2F, with properties calculated at the PBE level.

Cell and atoms, written as POSCAR:
```
NaNbO2F
1.0
-0.1301 3.5242 1.8145
-0.7167 -1.8064 3.4572
3.5637 -0.1961 0.6364
Nb Na O F
1 1 2 1
Direct
0.5000 0.5000 0.5000
0.0000 0.0000 0.0000
0.0000 0.5000 0.0000
0.5000 0.0000 0.0000
0.0000 0.0000 0.5000
```

symmetry	P4/mmm (123)
crystal system	tetragonal
V	57	Å³/cell
total moment	0.9	Bohr magnetons per cell
formation energy from raw total energies	-268.7	kJ/mol of formula units

=====

# 9
Below is a relaxed structure of Na3Nb2O5F2, with properties calculated at the PBE level.

Cell and atoms, written as POSCAR:
```
Na3Nb2O5F2
1.0
4.0150 0.0000 0.0000
0.0000 4.0150 0.0000
-2.0075 -2.0075 10.0304
O Na F Nb
5 3 2 2
Direct
0.1026 0.6026 0.2051
0.6026 0.1026 0.2051
0.5000 0.5000 0.0000
0.8974 0.3974 0.7949
0.3974 0.8974 0.7949
0.8159 0.8159 0.6319
0.1841 0.1841 0.3681
0.0000 0.0000 0.0000
0.2951 0.2951 0.5902
0.7049 0.7049 0.4098
0.4020 0.4020 0.8039
0.5980 0.5980 0.1961
```

symmetry	I4/mmm (139)
crystal system	tetragonal
V	162	Å³/cell
total moment	0.0	Bohr magnetons per cell
formation energy from raw total energies	-2897.5	kJ/mol of formula units

=====

# 10
Below is a relaxed structure of Na2NbO4F5, with properties calculated at the PBE level.

Cell and atoms, written as POSCAR:
```
Na2NbO4F5
1.0
-5.8443 -1.4879 0.2474
1.8943 -1.3595 5.5672
-2.3922 9.9350 3.2401
F O Nb Na
10 8 2 4
Direct
0.5527 0.5701 0.3178
0.7196 0.3054 0.4922
0.0701 0.0527 0.8178
0.7805 0.7805 0.5000
0.2196 0.8054 0.0078
0.5701 0.5527 0.6822
0.0527 0.0701 0.1822
0.8054 0.2196 0.9922
0.3054 0.7196 0.5078
0.2805 0.2805 0.0000
0.7471 0.7681 0.0649
0.9358 0.5529 0.2166
0.5529 0.9358 0.7834
0.2471 0.2681 0.4351
0.2681 0.2471 0.5649
0.0529 0.4358 0.7166
0.4358 0.0529 0.2834
0.7681 0.7471 0.9351
0.0136 0.0136 0.0000
0.5136 0.5136 0.5000
0.0798 0.8550 0.3591
0.8550 0.0798 0.6409
0.3550 0.5798 0.8591
0.5798 0.3550 0.1409
```

symmetry	Aea2 (41)
crystal system	orthorhombic
V	382	Å³/cell
total moment	8.1	Bohr magnetons per cell
formation energy from raw total energies	-1952.7	kJ/mol of formula units

=====

# 11
Below is a relaxed structure of Na3NbOF6, with properties calculated at the PBE level.

Cell and atoms, written as POSCAR:
```
Na3NbOF6
1.0
5.7550 0.0000 0.0000
0.0000 5.8418 0.0000
0.0000 0.0000 17.1170
Na F Nb O
12 24 4 4
Direct
0.2581 0.0151 0.3759
0.7175 0.0077 0.0049
0.2825 0.5077 0.4951
0.2360 0.4695 0.2576
0.2175 0.4923 0.9951
0.2640 0.5305 0.7576
0.7419 0.5151 0.1241
0.7640 0.9695 0.2424
0.7581 0.4849 0.6241
0.2419 0.9849 0.8759
0.7360 0.0305 0.7424
0.7825 0.9923 0.5049
0.0802 0.2263 0.7007
0.5802 0.2737 0.2993
0.1528 0.0789 0.2385
0.2184 0.8944 0.5107
0.0525 0.2477 0.5611
0.9152 0.8388 0.6342
0.5525 0.2523 0.4389
0.5848 0.1612 0.1342
0.2816 0.1056 0.0107
0.6324 0.1765 0.8767
0.8676 0.8235 0.3767
0.6528 0.4211 0.7615
0.9198 0.7263 0.7993
0.4198 0.7737 0.2007
0.0848 0.3388 0.8658
0.3676 0.6765 0.6233
0.7184 0.6056 0.4893
0.9475 0.7477 0.9389
0.7816 0.3944 0.9893
0.3472 0.9211 0.7385
0.8472 0.5789 0.2615
0.4152 0.6612 0.3658
0.1324 0.3235 0.1233
0.4475 0.7523 0.0611
0.7559 0.5073 0.8751
0.2441 0.0073 0.6249
0.2559 0.9927 0.1249
0.7441 0.4927 0.3751
0.0109 0.3429 0.3899
0.4891 0.6571 0.8899
0.5109 0.1571 0.6101
0.9891 0.8429 0.1101
```

symmetry	P2_12_12_1 (19)
crystal system	orthorhombic
V	575	Å³/cell
total moment	0.5	Bohr magnetons per cell
formation energy from raw total energies	-3065.3	kJ/mol of formula units

=====

# 12
Below is a relaxed structure of Na11TiNb2Si4P2O24F2, with properties calculated at the PBE level.

Cell and atoms, written as POSCAR:
```
Na11TiNb2Si4P2O24F2
1.0
5.6107 -0.0103 0.0104
-0.0960 7.2464 0.0282
-1.4096 -0.6733 14.5617
Na O Nb P F Si Ti
11 24 2 2 2 4 1
Direct
0.8156 0.0155 0.1011
0.1844 0.9845 0.8989
0.8032 0.4917 0.1355
0.0000 0.5000 0.5000
0.2419 0.7333 0.0756
0.2867 0.0086 0.2629
0.5079 0.7512 0.5004
0.1968 0.5083 0.8645
0.4921 0.2488 0.4996
0.7581 0.2667 0.9244
0.7133 0.9914 0.7371
0.8422 0.7892 0.4153
0.8267 0.7241 0.0297
0.4147 0.7445 0.9414
0.7943 0.9921 0.2650
0.1578 0.2108 0.5847
0.3182 0.5118 0.4083
0.6818 0.4882 0.5917
0.9924 0.6847 0.7281
0.1582 0.8062 0.5738
0.2535 0.4284 0.1301
0.4678 0.7188 0.7157
0.4291 0.3296 0.7413
0.8418 0.1938 0.4262
0.9468 0.3002 0.7438
0.5322 0.2812 0.2843
0.2057 0.0079 0.7350
0.0076 0.3153 0.2719
0.5709 0.6704 0.2587
0.5853 0.2555 0.0586
0.0532 0.6998 0.2562
0.1733 0.2759 0.9703
0.7697 0.9287 0.8928
0.7465 0.5716 0.8699
0.2303 0.0713 0.1072
0.2980 0.4908 0.2844
0.7020 0.5092 0.7156
0.6886 0.7449 0.9335
0.3114 0.2551 0.0665
0.2784 0.0014 0.4243
0.7216 0.9986 0.5757
0.7959 0.2032 0.3150
0.8170 0.7783 0.3037
0.2041 0.7968 0.6850
0.1830 0.2217 0.6963
0.0000 0.0000 0.5000
```

symmetry	P-1 (2)
crystal system	triclinic
V	592	Å³/cell
total moment	1.0	Bohr magnetons per cell
formation energy from raw total energies	-11020.1	kJ/mol of formula units